(1)
The following is a PBE calculation of Ca2SiH6 after structural relaxation, from the Alexandria database.

Calculated values
D(E_F)   0.130 states/eV/atom

```
9
Lattice="0.0000 3.6361 3.6361 3.6361 0.0000 3.6361 3.6361 3.6361 0.0000" Properties=species:S:1:pos:R:3 pbc="T T T"
Ca 1.8181 1.8181 1.8181
Ca 5.4542 5.4542 5.4542
Si 0.0000 0.0000 0.0000
H 3.6361 3.6361 1.6739
H 3.6361 1.6739 3.6361
H 5.5983 3.6361 3.6361
H 1.6739 3.6361 3.6361
H 3.6361 5.5983 3.6361
H 3.6361 3.6361 5.5983
```

(2)
The following is a PBE calculation of CaTiSiH2 after structural relaxation, from the Alexandria database.

Calculated values
D(E_F)   0.523 states/eV/atom

```
5
Lattice="4.0042 0.0000 0.0000 0.0000 4.0042 0.0000 0.0000 0.0000 4.8979" Properties=species:S:1:pos:R:3 pbc="T T T"
Ca 0.0000 0.0000 0.0000
Ti 2.0021 2.0021 2.4489
Si 2.0021 2.0021 0.0000
H 0.0000 2.0021 2.4489
H 2.0021 0.0000 2.4489
```

(3)
The following is a PBE calculation of CaSm2H after structural relaxation, from the Alexandria database.

Calculated values
D(E_F)   1.140 states/eV/atom

```
4
Lattice="1.8215 1.0517 9.6640 -1.8215 1.0517 9.6640 0.0000 -2.1033 9.6640" Properties=species:S:1:pos:R:3 pbc="T T T"
Ca 0.0000 0.0000 0.0000
Sm 0.0000 0.0000 3.4520
Sm 0.0000 0.0000 25.5401
H 0.0000 0.0000 14.4960
```

(4)
The following is a PBE calculation of CaSm2H8 after structural relaxation, from the Alexandria database.

```
11
Lattice="-1.9054 2.6065 5.6843 1.9054 -2.6065 5.6843 1.9054 2.6065 -5.6843" Properties=species:S:1:pos:R:3 pbc="T T T"
Ca 0.0000 0.0000 0.0000
Sm 0.0000 0.0000 3.6781
Sm 0.0000 0.0000 7.6904
H 1.9054 -1.1975 3.9391
H 1.9054 0.0000 2.0668
H 1.9054 1.4326 0.0000
H 0.0000 1.4090 1.7452
H 1.9054 1.1975 3.9391
H 0.0000 1.1739 5.6843
H 0.0000 2.6065 3.6175
H 0.0000 3.8040 1.7452
```

Number 1: E -3.37 eV per atom, total magnetic moment 0.00 μB/f.u.. Number 2: E -4.49 eV per atom, total magnetic moment 0.00 μB/f.u.. Number 3: E -3.73 eV per atom, total magnetic moment 0.46 μB/f.u.. Number 4: E -4.06 eV per atom, total magnetic moment 0.00 μB/f.u..